The following is a PBE-GGA calculation of K3ZrTi2Te6 after structural relaxation, from Alexandria.

E_form (uncorrected) = -0.88 eV per atom
E = -4.7547 eV/atom
Density of states at the Fermi level = 3.83 states/eV/cell

Unit cell a=7.2102 b=7.2102 c=8.6257 alpha=98.01 beta=98.01 gamma=120.11
Last column: nearest neighbours and their distance in Å.
Positions (direct):
Te: 0.2826 0.2826 0.8125  1 Zr 2.93, 2 Ti 2.94
Te: 0.0700 0.4085 0.2005  2 Ti 2.81-2.89, 1 Zr 2.96
Te: 0.4085 0.0700 0.2005  2 Ti 2.81-2.89, 1 Zr 2.96
Te: 0.9300 0.5915 0.7995  2 Ti 2.81-2.89, 1 Zr 2.96
Te: 0.5915 0.9300 0.7995  2 Ti 2.81-2.89, 1 Zr 2.96
Te: 0.7174 0.7174 0.1875  1 Zr 2.93, 2 Ti 2.94
Ti: 0.3215 0.6785 0.0000  6 Te 2.81-2.94
Ti: 0.6785 0.3215 0.0000  6 Te 2.81-2.94
K: 0.5000 0.5000 0.5000  6 Te 3.46-3.47
K: 0.1602 0.8398 0.5000  6 Te 3.47-3.51
K: 0.8398 0.1602 0.5000  6 Te 3.47-3.51
Zr: 0.0000 0.0000 0.0000  6 Te 2.93-2.96

The following is a PBE-GGA calculation of K3Zr3TiTe8 after structural relaxation, from Alexandria.

E_form (uncorrected) = -0.94 eV per atom
E = -5.0664 eV/atom
Density of states at the Fermi level = 9.33 states/eV/cell

Unit cell a=8.1705 b=8.1722 c=9.8351 alpha=114.55 beta=90.00 gamma=120.01
Last column: nearest neighbours and their distance in Å.
Positions (direct):
Zr: 0.5000 0.5000 0.5000  6 Te 2.93-2.95
Zr: 0.0000 0.5000 0.5000  6 Te 2.93-2.95
Zr: 0.5000 0.0000 0.5000  6 Te 2.93-2.95
K: 0.0000 0.5000 0.0000  6 Te 3.47-3.50
K: 0.5000 0.5000 0.0000  6 Te 3.47-3.50
K: 0.0000 0.0000 0.0000  6 Te 3.47-3.50
Ti: 0.0000 0.0000 0.5000  6 Te 2.88
Te: 0.2297 0.4595 0.6983  1 Ti 2.88, 2 Zr 2.93
Te: 0.7703 0.5405 0.3017  1 Ti 2.88, 2 Zr 2.93
Te: 0.2651 0.5302 0.2953  3 Zr 2.95
Te: 0.7703 0.0313 0.3016  1 Ti 2.88, 2 Zr 2.93
Te: 0.7349 0.4698 0.7047  3 Zr 2.95
Te: 0.2610 0.0313 0.3016  1 Ti 2.88, 2 Zr 2.93
Te: 0.7390 0.9687 0.6984  1 Ti 2.88, 2 Zr 2.93
Te: 0.2297 0.9687 0.6984  1 Ti 2.88, 2 Zr 2.93

The following is a PBE-GGA calculation of K2TlTe2 after structural relaxation, from Alexandria.

E above lowest polymorph = 0.00 eV per formula unit
E_form (uncorrected) = -0.70 eV per atom
E = -2.8644 eV/atom
Density of states at the Fermi level = 6.03 states/eV/cell

Unit cell a=7.3411 b=8.1755 c=8.9570 alpha=117.15 beta=114.19 gamma=90.00
Last column: nearest neighbours and their distance in Å.
Positions (direct):
K: 0.3639 0.0289 0.7277  5 Te 3.52-3.78, 2 Tl 3.82
K: 0.1361 0.3012 0.2723  5 Te 3.52-3.78, 2 Tl 3.82
K: 0.8639 0.6988 0.7277  5 Te 3.52-3.78, 2 Tl 3.82
K: 0.6361 0.9711 0.2723  5 Te 3.52-3.78, 2 Tl 3.82
Te: 0.6181 0.3887 0.2362  2 Tl 3.11
Te: 0.1181 0.8475 0.2362  2 Tl 3.11
Te: 0.3819 0.6113 0.7638  2 Tl 3.11
Te: 0.8819 0.1525 0.7638  2 Tl 3.11
Tl: 0.7500 0.5000 0.0000  4 Te 3.11
Tl: 0.2500 0.5000 0.0000  4 Te 3.11

The following is a PBE-GGA calculation of KTlTe2 after structural relaxation, from Alexandria.

E_form (uncorrected) = -0.37 eV per atom
E = -2.8090 eV/atom
Density of states at the Fermi level = 2.10 states/eV/cell

Unit cell a=6.9622 b=6.9622 c=6.9622 alpha=147.06 beta=130.76 gamma=60.51
Last column: nearest neighbours and their distance in Å.
Positions (direct):
K: 0.2471 0.7471 0.5000  8 Te 3.51-3.92, 2 Tl 3.90
Tl: 0.5299 0.5299 0.0000  6 Te 3.37-3.59
Te: 0.9661 0.9661 0.0000  2 Te 3.20
Te: 0.7569 0.2569 0.5000  2 Te 3.20, 2 Tl 3.37, 4 K 3.51

The following is a PBE-GGA calculation of KTl4Te2 after structural relaxation, from Alexandria.

E_form (uncorrected) = -0.35 eV per atom
E = -2.7596 eV/atom
Density of states at the Fermi level = 3.71 states/eV/cell

Unit cell a=5.6309 b=9.6079 c=9.6079 alpha=90.00 beta=90.00 gamma=90.00
Last column: nearest neighbours and their distance in Å.
Positions (direct):
K: 0.5000 0.0000 0.0000  6 Te 3.87-4.13, 4 Tl 4.06
K: 0.0000 0.5000 0.5000  6 Te 3.87-4.13, 4 Tl 4.06
Tl: 0.0000 0.6474 0.8963  3 Te 3.25-3.44, 2 Tl 3.38-3.46
Tl: 0.5000 0.6037 0.1474  3 Te 3.25-3.44, 2 Tl 3.38-3.46
Tl: 0.5000 0.3963 0.8526  3 Te 3.25-3.44, 2 Tl 3.38-3.46
Tl: 0.5000 0.8526 0.3963  3 Te 3.25-3.44, 2 Tl 3.38-3.46
Tl: 0.5000 0.1474 0.6037  3 Te 3.25-3.44, 2 Tl 3.38-3.46
Tl: 0.0000 0.3526 0.1037  3 Te 3.25-3.44, 2 Tl 3.38-3.46
Tl: 0.0000 0.1037 0.3526  3 Te 3.25-3.44, 2 Tl 3.38-3.46
Tl: 0.0000 0.8963 0.6474  3 Te 3.25-3.44, 2 Tl 3.38-3.46
Te: 0.0000 0.8041 0.1959  6 Tl 3.25-3.44
Te: 0.5000 0.6959 0.6959  6 Tl 3.25-3.44
Te: 0.0000 0.1959 0.8041  6 Tl 3.25-3.44
Te: 0.5000 0.3041 0.3041  6 Tl 3.25-3.44

The following is a PBE-GGA calculation of KTl3Te3 after structural relaxation, from Alexandria.

E above lowest polymorph = 0.00 eV per formula unit
E_form (uncorrected) = -0.36 eV per atom
E = -2.8766 eV/atom
Density of states at the Fermi level = 9.96 states/eV/cell

Unit cell a=9.4469 b=9.4469 c=9.2920 alpha=59.45 beta=59.45 gamma=60.00
Last column: nearest neighbours and their distance in Å.
Positions (direct):
Te: 0.5674 0.9182 0.2496  4 Tl 3.15-3.24
Te: 0.9182 0.2647 0.2496  4 Tl 3.15-3.24
Te: 0.2647 0.5674 0.2496  4 Tl 3.15-3.24
Te: 0.7353 0.4326 0.7504  4 Tl 3.15-3.24
Te: 0.0818 0.7353 0.7504  4 Tl 3.15-3.24
Te: 0.4326 0.0818 0.7504  4 Tl 3.15-3.24
Tl: 0.1142 0.4275 0.6687  4 Te 3.15-3.24
Tl: 0.4275 0.7896 0.6687  4 Te 3.15-3.24
Tl: 0.5725 0.2104 0.3313  4 Te 3.15-3.24
Tl: 0.2104 0.8858 0.3313  4 Te 3.15-3.24
Tl: 0.8858 0.5725 0.3313  4 Te 3.15-3.24
Tl: 0.7896 0.1142 0.6687  4 Te 3.15-3.24
K: 0.6666 0.6666 0.0002  6 Te 3.60-3.61
K: 0.3334 0.3334 0.9998  6 Te 3.60-3.61

The following is a PBE-GGA calculation of KTlTe2 after structural relaxation, from Alexandria.

E_form (uncorrected) = -0.48 eV per atom
E = -2.9140 eV/atom
Density of states at the Fermi level = 0.00 states/eV/cell

Unit cell a=8.2343 b=8.2343 c=7.8059 alpha=58.17 beta=58.17 gamma=90.00
Last column: nearest neighbours and their distance in Å.
Positions (direct):
Te: 0.3750 0.3142 0.7500  2 Tl 2.89
Te: 0.6858 0.1250 0.2500  2 Tl 2.89
Te: 0.8750 0.9358 0.7500  2 Tl 2.89
Te: 0.0642 0.6250 0.2500  2 Tl 2.89
K: 0.2500 0.7500 0.5000  4 Te 3.53
K: 0.5000 0.5000 0.0000  4 Te 3.53
Tl: 0.7500 0.2500 0.5000  4 Te 2.89
Tl: 0.0000 0.0000 0.0000  4 Te 2.89

The following is a PBE-GGA calculation of KTl2Te2 after structural relaxation, from Alexandria.

E above lowest polymorph = 0.00 eV per formula unit
E_form (uncorrected) = -0.46 eV per atom
E = -2.8833 eV/atom
Density of states at the Fermi level = 1.52 states/eV/cell

Unit cell a=5.1509 b=7.3028 c=10.8980 alpha=112.53 beta=90.00 gamma=90.00
Last column: nearest neighbours and their distance in Å.
Positions (direct):
Tl: 0.7500 0.6310 0.4005  3 Te 3.24-3.25
Tl: 0.2500 0.3690 0.5995  3 Te 3.24-3.25
Tl: 0.2500 0.8398 0.8868  4 Te 3.14-3.32
Tl: 0.7500 0.1602 0.1132  4 Te 3.14-3.32
Te: 0.2500 0.8080 0.5910  4 Tl 3.14-3.25
Te: 0.7500 0.1920 0.4090  4 Tl 3.14-3.25
Te: 0.2500 0.3309 0.0240  3 Tl 3.17-3.32
Te: 0.7500 0.6691 0.9760  3 Tl 3.17-3.32
K: 0.7500 0.1564 0.7512  6 Te 3.57-3.84, 3 Tl 3.71-3.93
K: 0.2500 0.8436 0.2488  6 Te 3.57-3.84, 3 Tl 3.71-3.93

What is the E_form (uncorrected) in the eighth record?
-0.46 eV per atom